This record from Alexandria describes an optimized crystal structure of Ac4Pm3DyS8. The functional is PBE-GGA.

a b c (Å): 8.2553 8.2553 20.6013
angles (deg): 90.00 90.00 120.00
Space group R-3m (No. 166, hexagonal axes)
Symmetry-distinct sites (fractional):
Ac: 0.0000 0.0000 0.0000 x3
Ac: 0.0000 0.5000 0.0000 x9
Pm: 0.0000 0.5000 0.5000 x9
Dy: 0.0000 0.0000 0.5000 x3
S: 0.0000 0.0000 0.2437 x6
S: 0.0064 0.5032 0.2422 x18

Output
density = 7.2 g cm⁻³
D(E_F) = 7.364 states/eV/f.u.
energy relative to the elements, uncorrected = -2001 meV per atom

This record from Alexandria describes an optimized crystal structure of Ce2BHRh6. The functional is PBE-GGA.

a b c (Å): 4.204 4.204 8.221
angles (deg): 90.00 90.00 90.00
Space group P4/mmm (No. 123)
Symmetry-distinct sites (fractional):
Ce: 0.000 0.000 0.243 x2
B: 0.500 0.500 0.500 x1
H: 0.500 0.500 0.000 x1
Rh: 0.000 0.500 0.000 x2
Rh: 0.000 0.500 0.500 x2
Rh: 0.500 0.500 0.244 x2

Output
E = -7.28 eV/atom
density = 10.4 g cm⁻³
D(E_F) = 9.434 states/eV/f.u.

This record from Alexandria describes an optimized crystal structure of ZnPb2O4. The functional is PBE-GGA.

a b c (Å): 5.738 11.116 3.265
angles (deg): 90.00 90.00 90.00
Space group Cmmm (No. 65)
Symmetry-distinct sites (fractional):
Zn: 0.000 0.000 0.000 x2
Pb: 0.000 0.338 0.500 x4
O: 0.232 0.000 0.500 x4
O: 0.250 0.250 0.000 x4

Output
density = 8.7 g cm⁻³
D(E_F) = 2.066 states/eV/f.u.
energy relative to the elements, uncorrected = -870 meV per atom

This record from Alexandria describes an optimized crystal structure of Li4Tb3In4. The functional is PBE-GGA.

a b c (Å): 3.432 4.926 15.635
angles (deg): 99.05 96.29 90.00
Space group P-1 (No. 2)
Symmetry-distinct sites (fractional):
Li: 0.092 0.092 0.185 x2
Li: 0.239 0.739 0.479 x2
Tb: 0.358 0.358 0.715 x2
Tb: 0.500 0.000 0.000 x1
In: 0.049 0.549 0.099 x2
In: 0.183 0.183 0.367 x2

Output
density = 6.2 g cm⁻³
D(E_F) = 5.878 states/eV/f.u.
formation energy from the elements = -3.70 eV/f.u.

This record from Alexandria describes an optimized crystal structure of BSbI2O. The functional is PBE-GGA.

a b c (Å): 4.832 4.832 4.996
angles (deg): 90.00 90.00 90.00
Space group P4/mmm (No. 123)
Symmetry-distinct sites (fractional):
B: 0.000 0.000 0.000 x1
Sb: 0.000 0.000 0.500 x1
I: 0.000 0.500 0.000 x2
O: 0.500 0.500 0.500 x1

Output
density = 5.7 g cm⁻³
D(E_F) = 7.271 states/eV/f.u.
energy relative to the elements, uncorrected = 1175 meV per atom

This record from Alexandria describes an optimized crystal structure of SrTbPaN3. The functional is PBE-GGA.

a b c (Å): 6.149 3.603 9.321
angles (deg): 90.00 102.28 90.00
Space group P2_1/m (No. 11)
Symmetry-distinct sites (fractional):
Sr: 0.155 0.250 0.189 x2
Tb: 0.358 0.250 0.862 x2
Pa: 0.264 0.750 0.542 x2
N: 0.050 0.250 0.635 x2
N: 0.275 0.750 0.993 x2
N: 0.473 0.750 0.369 x2

Output
density = 8.6 g cm⁻³
D(E_F) = 2.050 states/eV/f.u.
energy relative to the elements, uncorrected = -1337 meV per atom

This record from Alexandria describes an optimized crystal structure of Tb6Pr2Sm3Tl. The functional is PBE-GGA.

a b c (Å): 6.169 10.692 11.856
angles (deg): 90.00 100.05 90.00
Space group C2/m (No. 12)
Symmetry-distinct sites (fractional):
Tb: 0.244 0.000 0.250 x4
Tb: 0.246 0.164 0.749 x8
Pr: 0.000 0.334 0.500 x4
Sm: 0.000 0.167 0.000 x4
Sm: 0.000 0.500 0.000 x2
Tl: 0.000 0.000 0.500 x2

Output
density = 8.2 g cm⁻³
D(E_F) = 16.076 states/eV/f.u.
formation energy from the elements = -0.38 eV/f.u.

This record from Alexandria describes an optimized crystal structure of Ga3IF. The functional is PBE-GGA.

a b c (Å): 5.048 5.048 5.048
angles (deg): 90.00 90.00 90.00
Space group Pm-3m (No. 221)
Symmetry-distinct sites (fractional):
Ga: 0.000 0.000 0.500 x3
I: 0.500 0.500 0.500 x1
F: 0.000 0.000 0.000 x1

Output
density = 4.6 g cm⁻³
D(E_F) = 2.054 states/eV/f.u.
energy relative to the elements, uncorrected = -481 meV per atom

This record from Alexandria describes an optimized crystal structure of ErGa4Pt2. The functional is PBE-GGA.

a b c (Å): 17.259 4.270 6.701
angles (deg): 90.00 90.00 90.00
Space group Pnma (No. 62)
Symmetry-distinct sites (fractional):
Er: 0.142 0.250 0.017 x4
Ga: 0.038 0.750 0.853 x4
Ga: 0.068 0.250 0.485 x4
Ga: 0.185 0.750 0.321 x4
Ga: 0.188 0.750 0.733 x4
Pt: 0.038 0.750 0.247 x4
Pt: 0.216 0.250 0.530 x4

Output
density = 11.2 g cm⁻³
D(E_F) = 2.850 states/eV/f.u.
formation energy from the elements = -5.60 eV/f.u.

This record from Alexandria describes an optimized crystal structure of TaZn2Ir. The functional is PBE-GGA.

a b c (Å): 5.256 8.383 2.810
angles (deg): 90.00 90.00 90.00
Space group Cmmm (No. 65)
Symmetry-distinct sites (fractional):
Ta: 0.000 0.000 0.000 x2
Zn: 0.250 0.250 0.500 x4
Ir: 0.000 0.500 0.000 x2

Output
density = 13.5 g cm⁻³
D(E_F) = 1.928 states/eV/f.u.
formation energy from the elements = 0.05 eV/f.u.

This record from Alexandria describes an optimized crystal structure of MgSiB2. The functional is PBE-GGA.

a b c (Å): 8.978 4.514 6.060
angles (deg): 90.00 126.56 90.00
Space group Cm (No. 8)
Symmetry-distinct sites (fractional):
Mg: 0.000 0.000 0.000 x2
Mg: 0.127 0.000 0.586 x2
Si: 0.181 0.500 0.966 x2
Si: 0.374 0.000 0.180 x2
B: 0.123 0.500 0.249 x2
B: 0.329 0.327 0.521 x4
B: 0.429 0.000 0.576 x2

Output
density = 2.5 g cm⁻³
D(E_F) = 0.843 states/eV/f.u.
energy relative to the elements, uncorrected = 169 meV per atom

This record from Alexandria describes an optimized crystal structure of HgS5F. The functional is PBE-GGA.

a b c (Å): 5.875 16.924 4.465
angles (deg): 90.00 94.21 90.00
Space group C2 (No. 5)
Symmetry-distinct sites (fractional):
Hg: 0.000 0.000 0.000 x2
S: 0.000 0.697 0.500 x2
S: 0.115 0.485 0.175 x4
S: 0.125 0.770 0.845 x4
F: 0.000 0.053 0.500 x2

Output
density = 2.8 g cm⁻³
energy relative to the elements, uncorrected = -167 meV per atom

This record from Alexandria describes an optimized crystal structure of Mg2IrW. The functional is PBE-GGA.

a b c (Å): 9.149 2.851 5.166
angles (deg): 90.00 97.28 90.00
Space group Cm (No. 8)
Symmetry-distinct sites (fractional):
Mg: 0.000 0.000 0.000 x2
Mg: 0.239 0.000 0.766 x2
Ir: 0.498 0.000 0.474 x2
W: 0.255 0.500 0.291 x2

Output
density = 10.6 g cm⁻³
D(E_F) = 2.711 states/eV/f.u.
formation energy from the elements = 0.36 eV/f.u.

This record from Alexandria describes an optimized crystal structure of LiTaAl2O6. The functional is PBE-GGA.

a b c (Å): 5.0150 5.0150 13.4942
angles (deg): 90.00 90.00 120.00
Space group R3 (No. 146, hexagonal axes)
Symmetry-distinct sites (fractional):
Li: 0.0000 0.0000 0.0000 x3
Ta: 0.0000 0.0000 0.4901 x3
Al: 0.0000 0.0000 0.2848 x3
Al: 0.0000 0.0000 0.7784 x3
O: 0.0082 0.3650 0.5433 x9
O: 0.0210 0.6222 0.0480 x9

Output
density = 5.7 g cm⁻³
D(E_F) = 0.000 states/eV/f.u.
energy relative to the elements, uncorrected = -2768 meV per atom

This record from Alexandria describes an optimized crystal structure of K2LiAg2F6. The functional is PBE-GGA.

a b c (Å): 10.764 6.074 6.334
angles (deg): 90.00 114.78 90.00
Space group C2/m (No. 12)
Symmetry-distinct sites (fractional):
K: 0.202 0.000 0.117 x4
Li: 0.000 0.000 0.500 x2
Ag: 0.089 0.500 0.329 x4
F: 0.068 0.252 0.772 x8
F: 0.194 0.000 0.520 x4

Output
density = 3.7 g cm⁻³
D(E_F) = 5.666 states/eV/f.u.
energy relative to the elements, uncorrected = -1922 meV per atom

This record from Alexandria describes an optimized crystal structure of PmPrNd6Y2. The functional is PBE-GGA.

a b c (Å): 9.549 15.271 9.668
angles (deg): 90.00 96.05 90.00
Space group C2/c (No. 15)
Symmetry-distinct sites (fractional):
Pm: 0.000 0.092 0.250 x4
Pr: 0.000 0.462 0.750 x4
Nd: 0.067 0.327 0.441 x8
Nd: 0.090 0.114 0.616 x8
Nd: 0.218 0.275 0.818 x8
Y: 0.248 0.453 0.053 x8

Output
density = 6.3 g cm⁻³
D(E_F) = 14.512 states/eV/f.u.
formation energy from the elements = 1.13 eV/f.u.

This record from Alexandria describes an optimized crystal structure of TaMn2HRu. The functional is PBE-GGA.

a b c (Å): 3.781 3.781 4.005
angles (deg): 90.00 90.00 90.00
Space group P4/mmm (No. 123)
Symmetry-distinct sites (fractional):
Ta: 0.000 0.000 0.000 x1
Mn: 0.000 0.500 0.500 x2
H: 0.500 0.500 0.500 x1
Ru: 0.500 0.500 0.000 x1

Output
E = -8.65 eV/atom
density = 11.4 g cm⁻³
D(E_F) = 3.390 states/eV/f.u.

This record from Alexandria describes an optimized crystal structure of Y4AuC. The functional is PBE-GGA.

a b c (Å): 8.255 13.822 6.336
angles (deg): 90.00 122.68 90.00
Space group C2/c (No. 15)
Symmetry-distinct sites (fractional):
Y: 0.142 0.201 0.153 x8
Y: 0.232 0.046 0.698 x8
Au: 0.000 0.378 0.750 x4
C: 0.000 0.065 0.250 x4

Output
density = 6.2 g cm⁻³
D(E_F) = 5.897 states/eV/f.u.
formation energy from the elements = -2.10 eV/f.u.

This record from Alexandria describes an optimized crystal structure of MgV3Re. The functional is PBE-GGA.

a b c (Å): 4.621 4.621 4.621
angles (deg): 90.00 90.00 90.00
Space group Pm-3m (No. 221)
Symmetry-distinct sites (fractional):
Mg: 0.000 0.000 0.000 x1
V: 0.000 0.500 0.500 x3
Re: 0.500 0.500 0.500 x1

Output
density = 6.1 g cm⁻³
D(E_F) = 5.513 states/eV/f.u.
formation energy from the elements = 5.05 eV/f.u.

This record from Alexandria describes an optimized crystal structure of Rb2RhAuBr6. The functional is PBE-GGA.

a b c (Å): 7.550 7.550 10.694
angles (deg): 90.00 90.00 90.00
Space group I4/mmm (No. 139)
Symmetry-distinct sites (fractional):
Rb: 0.000 0.500 0.250 x4
Rh: 0.000 0.000 0.000 x2
Au: 0.000 0.000 0.500 x2
Br: 0.000 0.000 0.239 x4
Br: 0.239 0.239 0.000 x8

Output
density = 5.2 g cm⁻³
D(E_F) = 8.649 states/eV/f.u.
energy relative to the elements, uncorrected = -816 meV per atom